(1)
First-principles (PBE-GGA) data for a relaxed La2Er3Pb4 crystal, as listed in the Alexandria database.

Structure (POSCAR):
```
La2Er3Pb4
1.0
3.5857 -8.7310 0.0000
3.5857 8.7310 0.0000
0.0000 0.0000 9.0399
La Er Pb
4 6 8
Cartesian
3.5857 6.7892 8.2457
3.5857 1.9418 3.7257
3.5857 -1.9418 5.3142
3.5857 -6.7892 0.7943
0.0000 0.0000 4.5200
1.7929 3.6298 6.7800
1.7929 -3.6298 2.2600
3.5857 0.0000 0.0000
5.3786 3.6298 6.7800
5.3786 -3.6298 2.2600
3.5857 5.4838 5.0087
1.7929 0.5884 6.7800
1.7929 -0.5884 2.2600
3.5857 3.2472 0.4887
3.5857 -3.2472 8.5512
5.3786 0.5884 6.7800
5.3786 -0.5884 2.2600
3.5857 -5.4838 4.0313
```

Results
As for the energy relative to the lowest polymorph listed for this composition: 112.7 meV per atom. The value obtained for the formation energy is -0.496 eV per atom.

***

(2)
First-principles (PBE-GGA) data for a relaxed InCuSnMo2 crystal, as listed in the Alexandria database.

Structure (POSCAR):
```
InCuSnMo2
1.0
4.7912 0.0000 0.0000
0.0000 4.7912 0.0000
0.0000 0.0000 4.6258
In Cu Sn Mo
1 1 1 2
Cartesian
0.0000 0.0000 0.0000
2.3956 2.3956 2.3129
2.3956 2.3956 0.0000
0.0000 2.3956 2.3129
2.3956 0.0000 2.3129
```

Results
The value obtained for the formation energy is 1.211 eV per atom.

***

(3)
First-principles (PBE-GGA) data for a relaxed CoHRuAu2 crystal, as listed in the Alexandria database.

Structure (POSCAR):
```
CoHRuAu2
1.0
4.2276 0.0000 0.0000
0.0000 4.2276 0.0000
0.0000 0.0000 3.6643
Co H Ru Au
1 1 1 2
Cartesian
0.0000 0.0000 0.0000
2.1138 2.1138 1.8322
2.1138 2.1138 0.0000
0.0000 2.1138 1.8322
2.1138 0.0000 1.8322
```

Results
For the electronic total energy, the calculation gives -4.818 eV per atom.

***

(4)
First-principles (PBE-GGA) data for a relaxed BiPtN2O crystal, as listed in the Alexandria database.

Structure (POSCAR):
```
BiPtN2O
1.0
3.9666 0.0000 0.0000
0.0000 3.9666 0.0000
0.0000 0.0000 4.1768
Bi Pt N O
1 1 2 1
Cartesian
0.0000 0.0000 0.0000
1.9833 1.9833 2.0884
0.0000 1.9833 2.0884
1.9833 0.0000 2.0884
1.9833 1.9833 0.0000
```

Results
The value obtained for the uncorrected formation energy is 400 kJ/mol of formula units.

***

(5)
First-principles (PBE-GGA) data for a relaxed Zr2Si4Ir3Os crystal, as listed in the Alexandria database.

Structure (POSCAR):
```
Zr2Si4Ir3Os
1.0
4.0959 0.0000 0.0000
0.0000 4.0959 0.0000
0.0000 0.0000 9.5654
Zr Si Ir Os
2 4 3 1
Cartesian
0.0000 2.0480 2.3732
2.0480 0.0000 7.1922
0.0000 0.0000 4.7827
0.0000 2.0480 8.3131
2.0480 0.0000 1.2523
2.0480 2.0480 4.7827
0.0000 0.0000 0.0000
0.0000 2.0480 6.0033
2.0480 0.0000 3.5620
2.0480 2.0480 0.0000
```

Results
The value obtained for the uncorrected formation energy is -809 kJ/mol of formula units.

***

(6)
First-principles (PBE-GGA) data for a relaxed As5Au12Se3 crystal, as listed in the Alexandria database.

Structure (POSCAR):
```
As5Au12Se3
1.0
-7.6890 7.6890 7.6890
7.6890 -7.6890 7.6890
7.6890 7.6890 -7.6890
As Au Se
20 48 12
Cartesian
0.0000 0.0000 0.0000
3.8445 3.8445 -3.8445
3.8445 -3.8445 3.8445
7.6890 0.0000 0.0000
11.5334 1.9222 0.0000
7.6890 -3.8445 5.7667
5.7667 7.6890 -3.8445
5.7667 0.0000 3.8445
3.8445 5.7667 0.0000
7.6890 3.8445 1.9222
-3.8445 3.8445 3.8445
0.0000 7.6890 0.0000
0.0000 0.0000 7.6890
3.8445 3.8445 3.8445
0.0000 3.8445 5.7667
3.8445 1.9222 7.6890
1.9222 7.6890 3.8445
1.9222 0.0000 11.5334
0.0000 11.5334 1.9222
-3.8445 5.7667 7.6890
2.3126 -0.3409 1.1853
9.2209 5.0298 -4.1854
7.3481 -1.1853 2.3126
11.8743 -1.5319 2.6591
10.0015 0.3409 1.1853
9.2209 -2.6591 4.1854
1.1853 2.3126 -0.3409
10.3481 3.5036 -1.5319
5.0298 4.1854 -1.5319
6.5036 2.3126 0.3409
-0.3409 1.1853 2.3126
4.1854 -1.5319 5.0298
7.3481 6.5036 -2.3126
4.1854 1.5319 2.6591
6.5036 -2.3126 7.3481
5.0298 -4.1854 9.2209
2.6591 4.1854 1.5319
8.8743 5.3764 0.3409
2.3126 7.3481 -1.1853
9.2209 2.6591 3.5036
4.1854 9.2209 -2.6591
7.3481 1.1853 5.3764
1.5319 2.6591 4.1854
2.3126 0.3409 6.5036
5.3764 7.3481 1.1853
6.1570 5.0298 3.5036
0.3409 6.5036 2.3126
3.5036 -1.5319 10.3481
-1.5319 5.0298 4.1854
5.3764 0.3409 8.8743
-1.1853 2.3126 7.3481
5.0298 3.5036 6.1570
2.6591 11.8743 -1.5319
1.1853 10.0015 0.3409
3.5036 6.1570 5.0298
0.3409 1.1853 10.0015
3.5036 9.2209 2.6591
8.0299 6.5036 5.3764
1.1853 5.3764 7.3481
2.6591 3.5036 9.2209
-2.6591 4.1854 9.2209
6.5036 5.3764 8.0299
-1.5319 10.3481 3.5036
-2.3126 7.3481 6.5036
-4.1854 9.2209 5.0298
0.3409 8.8743 5.3764
-1.5319 2.6591 11.8743
5.3764 8.0299 6.5036
3.8445 1.9222 0.0000
7.6890 3.8445 -1.9222
1.9222 0.0000 3.8445
9.6112 0.0000 3.8445
0.0000 3.8445 1.9222
3.8445 -1.9222 7.6890
3.8445 9.6112 0.0000
7.6890 3.8445 5.7667
-1.9222 7.6890 3.8445
5.7667 7.6890 3.8445
0.0000 3.8445 9.6112
3.8445 5.7667 7.6890
```

Results
The value obtained for the uncorrected formation energy is 348 kJ/mol of formula units.

***

(7)
First-principles (PBE-GGA) data for a relaxed Pm8MgTl6 crystal, as listed in the Alexandria database.

Structure (POSCAR):
```
Pm8MgTl6
1.0
4.6400 2.6789 6.5654
-4.6400 2.6789 6.5654
0.0000 -5.3578 6.5654
Pm Mg Tl
8 1 6
Cartesian
-1.4613 -2.5725 7.7200
0.0000 0.0000 3.2723
-2.9585 -0.0207 11.9764
-1.4972 2.5518 7.7200
1.4972 -2.5518 11.9763
2.9585 0.0207 7.7200
0.0000 0.0000 16.4241
1.4613 2.5725 11.9763
0.0000 0.0000 9.8482
-3.0716 -0.0151 8.6740
-1.5227 -2.6676 11.0223
1.5489 -2.6525 8.6740
-1.5489 2.6525 11.0223
1.5227 2.6676 8.6740
3.0716 0.0151 11.0223
```

Results
The value obtained for the formation energy is -0.152 eV per atom.

***

(8)
First-principles (PBE-GGA) data for a relaxed Fe2AgTe crystal, as listed in the Alexandria database.

Structure (POSCAR):
```
Fe2AgTe
1.0
1.5479 0.8937 8.2065
-1.5479 0.8937 8.2065
0.0000 -1.7873 8.2065
Fe Ag Te
2 1 1
Cartesian
0.0000 0.0000 6.1064
0.0000 0.0000 18.5131
0.0000 0.0000 0.0000
0.0000 0.0000 12.3098
```

Results
The value obtained for the uncorrected formation energy is 229 kJ/mol of formula units.

***

(9)
First-principles (PBE-GGA) data for a relaxed La3PmMg2 crystal, as listed in the Alexandria database.

Structure (POSCAR):
```
La3PmMg2
1.0
3.8749 0.0000 0.0000
0.0000 3.8749 0.0000
0.0000 0.0000 13.1687
La Pm Mg
3 1 2
Cartesian
0.0000 0.0000 0.0000
0.0000 0.0000 4.0742
0.0000 0.0000 9.0945
1.9374 1.9374 6.5843
1.9374 1.9374 2.0430
1.9374 1.9374 11.1257
```

Results
The value obtained for the formation energy is -0.059 eV per atom.

***

(10)
First-principles (PBE-GGA) data for a relaxed CaHIr2 crystal, as listed in the Alexandria database.

Structure (POSCAR):
```
CaHIr2
1.0
0.0000 3.9605 3.9605
3.9605 0.0000 3.9605
3.9605 3.9605 0.0000
Ca H Ir
2 2 4
Cartesian
0.9901 0.9901 0.9901
6.9309 6.9309 6.9309
2.9704 2.9704 2.9704
4.9506 4.9506 4.9506
3.9605 1.9803 1.9803
1.9803 3.9605 1.9803
1.9803 1.9803 3.9605
3.9605 3.9605 3.9605
```

Results
As for the energy relative to the lowest polymorph listed for this composition: 0.0 meV per atom.

***

(11)
First-principles (PBE-GGA) data for a relaxed CoAsBr2 crystal, as listed in the Alexandria database.

Structure (POSCAR):
```
CoAsBr2
1.0
-1.8993 1.8993 6.9627
1.8993 -1.8993 6.9627
1.8993 1.8993 -6.9627
Co As Br
1 1 2
Cartesian
0.0000 0.0000 0.0000
1.8993 0.0000 3.4814
0.0000 0.0000 6.9627
0.0000 1.8993 3.4814
```

Results
The value obtained for the uncorrected formation energy is 251 kJ/mol of formula units. As for the energy relative to the lowest polymorph listed for this composition: 730.3 meV per atom.

***

(12)
First-principles (PBE-GGA) data for a relaxed IrS2ClF crystal, as listed in the Alexandria database.

Structure (POSCAR):
```
IrS2ClF
1.0
4.5429 0.0000 0.0000
0.0000 4.5429 0.0000
0.0000 0.0000 4.9020
Ir S Cl F
1 2 1 1
Cartesian
0.0000 0.0000 0.0000
0.0000 2.2715 0.0000
2.2715 0.0000 0.0000
0.0000 0.0000 2.4510
2.2715 2.2715 2.4510
```

Results
The value obtained for the uncorrected formation energy is 147 kJ/mol of formula units. As for the energy relative to the lowest polymorph listed for this composition: 0.0 meV per atom.

***

(13)
First-principles (PBE-GGA) data for a relaxed Y11Cd9Hg4 crystal, as listed in the Alexandria database.

Structure (POSCAR):
```
Y11Cd9Hg4
1.0
7.4332 -11.1227 0.0000
7.4332 11.1227 0.0000
0.0000 0.0000 3.7931
Y Cd Hg
11 9 4
Cartesian
0.0000 0.0000 0.0000
3.5661 3.8242 0.0000
7.4332 7.4302 0.0000
4.0020 0.0000 0.0000
7.4332 3.2706 0.0000
3.5661 -3.8242 0.0000
11.3002 3.8242 0.0000
7.4332 -3.2706 0.0000
10.8644 0.0000 0.0000
7.4332 -7.4302 0.0000
11.3002 -3.8242 0.0000
1.9207 1.7283 1.8966
5.7801 5.3877 1.8966
1.9207 -1.7283 1.8966
9.0862 5.3877 1.8966
7.4332 0.0000 1.8966
5.7801 -5.3877 1.8966
12.9456 1.7283 1.8966
9.0862 -5.3877 1.8966
12.9456 -1.7283 1.8966
5.2626 2.1133 1.8966
5.2626 -2.1133 1.8966
9.6037 2.1133 1.8966
9.6037 -2.1133 1.8966
```

Results
The value obtained for the formation energy is -0.381 eV per atom.

***

(14)
First-principles (PBE-GGA) data for a relaxed HoPaO crystal, as listed in the Alexandria database.

Structure (POSCAR):
```
HoPaO
1.0
3.2643 0.0000 0.0000
-1.6322 2.8270 0.0000
0.0000 0.0000 12.3950
Ho Pa O
2 2 2
Cartesian
0.0000 0.0000 2.8810
0.0000 0.0000 9.5140
0.0000 0.0000 6.1975
1.6322 0.9423 0.0000
1.6322 0.9423 4.4474
1.6322 0.9423 7.9475
```

Results
The value obtained for the uncorrected formation energy is -417 kJ/mol of formula units.

***

(15)
First-principles (PBE-GGA) data for a relaxed Nd3DyHo crystal, as listed in the Alexandria database.

Structure (POSCAR):
```
Nd3DyHo
1.0
3.5775 0.0000 0.0000
0.0000 17.6010 0.0000
0.0000 0.0000 11.0699
Nd Dy Ho
12 4 4
Cartesian
0.8915 1.3430 0.6235
0.8915 1.3430 4.9114
0.8915 7.4575 6.1585
0.8915 7.4575 10.4464
0.8980 13.2007 0.0000
0.8980 13.2007 5.5349
2.6794 4.4002 0.0000
2.6794 4.4002 5.5349
2.6860 10.1434 0.6235
2.6860 10.1434 4.9114
2.6860 16.2580 6.1585
2.6860 16.2580 10.4464
0.9002 10.5744 8.3024
0.9002 15.8271 2.7675
2.6772 1.7739 8.3024
2.6772 7.0266 2.7675
0.8899 3.9637 2.7675
0.8899 4.8367 8.3024
2.6875 12.7642 2.7675
2.6875 13.6372 8.3024
```

Results
The value obtained for the formation energy is 0.166 eV per atom.

***

(16)
First-principles (PBE-GGA) data for a relaxed Ac2Sb3Pd6 crystal, as listed in the Alexandria database.

Structure (POSCAR):
```
Ac2Sb3Pd6
1.0
7.9259 0.0000 0.0000
-3.9630 6.8641 0.0000
0.0000 0.0000 4.6681
Ac Sb Pd
2 3 6
Cartesian
0.0000 4.5760 0.0000
3.9630 2.2880 0.0000
-1.4258 2.4695 2.3340
2.8515 0.0000 2.3340
2.5372 4.3946 2.3340
-0.7989 1.3837 0.0000
-2.7565 4.7744 2.3340
1.5978 0.0000 0.0000
1.2065 2.0897 2.3340
5.5130 0.0000 2.3340
3.1641 5.4803 0.0000
```

Results
The value obtained for the uncorrected formation energy is -780 kJ/mol of formula units.

***

(17)
First-principles (PBE-GGA) data for a relaxed TbNd2S4 crystal, as listed in the Alexandria database.

Structure (POSCAR):
```
TbNd2S4
1.0
-4.0070 4.0661 5.6118
4.0070 -4.0661 5.6118
4.0070 4.0661 -5.6118
Tb Nd S
2 4 8
Cartesian
-2.0035 2.0331 2.8059
2.0035 2.0331 2.8059
0.0000 0.0000 0.0000
2.0035 2.0331 -2.8059
2.0035 -2.0331 2.8059
0.0000 4.0661 0.0000
1.9600 2.0331 0.0429
4.0070 0.0604 2.7650
2.0470 -2.0331 5.6547
0.0000 0.0604 2.8468
4.0070 4.0057 2.7650
1.9600 6.0992 -0.0429
0.0000 4.0057 2.8468
2.0470 2.0331 5.5689
```

Results
The value obtained for the uncorrected formation energy is -1364 kJ/mol of formula units. As for the energy relative to the lowest polymorph listed for this composition: 0.0 meV per atom.

***

(18)
First-principles (PBE-GGA) data for a relaxed RbLaRe2S crystal, as listed in the Alexandria database.

Structure (POSCAR):
```
RbLaRe2S
1.0
4.8317 0.0000 0.0000
0.0000 4.8317 0.0000
0.0000 0.0000 5.6894
Rb La Re S
1 1 2 1
Cartesian
0.0000 0.0000 0.0000
2.4158 2.4158 2.8447
0.0000 2.4158 0.0000
2.4158 0.0000 0.0000
0.0000 0.0000 2.8447
```

Results
The value obtained for the uncorrected formation energy is 1171 kJ/mol of formula units.

***

(19)
First-principles (PBE-GGA) data for a relaxed VCrPt crystal, as listed in the Alexandria database.

Structure (POSCAR):
```
VCrPt
1.0
4.4666 0.0000 0.0000
0.0000 2.7863 0.0000
-0.8884 0.0000 6.5117
V Cr Pt
2 2 2
Cartesian
0.6558 0.0000 1.8246
2.9224 0.0000 4.6871
0.0000 1.3932 0.0000
2.2333 0.0000 0.0000
0.6929 1.3932 4.1939
2.8853 1.3932 2.3178
```

Results
As for the energy relative to the lowest polymorph listed for this composition: 0.0 meV per atom. The value obtained for the formation energy is -0.257 eV per atom.

***

(20)
First-principles (PBE-GGA) data for a relaxed CsKNaSn crystal, as listed in the Alexandria database.

Structure (POSCAR):
```
CsKNaSn
1.0
0.0000 4.3489 4.3489
4.3489 0.0000 4.3489
4.3489 4.3489 0.0000
Cs K Na Sn
1 1 1 1
Cartesian
0.0000 0.0000 0.0000
6.5233 6.5233 6.5233
2.1744 2.1744 2.1744
4.3489 4.3489 4.3489
```

Results
The value obtained for the formation energy is -0.037 eV per atom.